(1)
The following is a PBE calculation of PrDy3Hg2 after structural relaxation, from the Alexandria database.

## Properties
Formation energy in meV/atom: -342.6
Final energy in eV for the cell shown: -42.5
Magnetic moment in Bohr magnetons per cell: 0.0
DOS at the Fermi energy in states/eV/f.u.: 3.26
Crystal system: orthorhombic

The structure in extended XYZ format:
```
12
Lattice="-1.063 4.335 2.522 -2.020 -3.844 5.756 8.756 0.259 3.246" Properties=species:S:1:pos:R:3 pbc="T T T"
Hg 5.457 -0.469 8.316
Dy -0.383 -0.353 5.657
Hg 0.243 1.270 3.131
Pr 3.311 2.223 2.785
Dy 4.271 -3.029 7.006
Hg 5.180 -0.815 3.584
Pr 3.310 0.331 6.037
Dy 2.127 -1.200 2.958
Dy -1.483 -3.770 5.855
Dy 6.390 1.739 4.915
Hg 1.532 -2.815 5.485
Dy 7.272 -1.619 5.848
```


(2)
The following is a PBE calculation of Sm3Al2Cd7 after structural relaxation, from the Alexandria database.

## Properties
Formation energy in meV/atom: -216.2
Final energy in eV for the cell shown: -30.6
Magnetic moment in Bohr magnetons per cell: 0.2
DOS at the Fermi energy in states/eV/f.u.: 10.94
Crystal system: trigonal

The structure in extended XYZ format:
```
12
Lattice="-3.956 3.398 2.845 -0.431 -0.264 5.919 4.892 7.804 3.686" Properties=species:S:1:pos:R:3 pbc="T T T"
Cd 0.252 5.469 6.225
Al -2.900 2.115 5.845
Cd 1.132 7.728 7.908
Al 3.405 8.822 6.604
Cd 1.352 7.863 4.894
Cd -0.847 3.074 7.556
Cd -2.642 4.939 5.990
Sm -1.672 6.022 9.090
Cd 3.147 5.998 6.459
Sm 2.177 4.915 3.359
Sm 0.000 0.000 0.000
Cd -0.627 3.209 4.542
```


(3)
The following is a PBE calculation of TbDy8Tm6 after structural relaxation, from the Alexandria database.

## Properties
Formation energy in meV/atom: 134.5
Final energy in eV for the cell shown: -66.3
Magnetic moment in Bohr magnetons per cell: 0.0
DOS at the Fermi energy in states/eV/f.u.: 23.35
Crystal system: trigonal

The structure in extended XYZ format:
```
15
Lattice="8.926 0.000 0.000 4.463 7.730 0.000 4.463 2.577 6.800" Properties=species:S:1:pos:R:3 pbc="T T T"
Tm 12.029 9.178 5.989
Dy 8.926 5.154 1.835
Tm 15.323 8.185 5.989
Dy 11.647 3.452 3.912
Tm 2.529 2.122 0.811
Tm 5.824 1.129 0.811
Dy 6.206 6.855 2.888
Tm 5.036 4.479 0.811
Dy 11.760 6.659 2.888
Dy 6.093 3.648 3.912
Dy 8.813 1.947 2.888
Dy 8.926 5.154 4.965
Dy 9.040 8.360 3.912
Tb 0.000 0.000 0.000
Tm 12.816 5.828 5.989
```


(4)
The following is a PBE calculation of SrHfFe2 after structural relaxation, from the Alexandria database.

## Properties
Formation energy in meV/atom: 726.1
Final energy in eV for the cell shown: -25.7
Magnetic moment in Bohr magnetons per cell: 0.0
DOS at the Fermi energy in states/eV/f.u.: 8.30
Crystal system: cubic

The structure in extended XYZ format:
```
4
Lattice="-0.921 -4.274 1.611 -3.391 -0.628 3.133 -3.942 -2.155 -1.234" Properties=species:S:1:pos:R:3 pbc="T T T"
Sr 0.000 0.000 0.000
Fe -6.191 -5.292 2.632
Fe -2.064 -1.764 0.877
Hf -4.127 -3.528 1.755
```


(5)
The following is a PBE calculation of Cs2MgTiI6 after structural relaxation, from the Alexandria database.

## Properties
Final energy in eV for the cell shown: -62.9
Magnetic moment in Bohr magnetons per cell: 4.0
DOS at the Fermi energy in states/eV/f.u.: 8.56
Formation energy (no corrections) in eV/f.u.: -10.95
Crystal system: trigonal

The structure in extended XYZ format:
```
20
Lattice="-4.526 1.442 6.871 -5.355 -5.785 2.764 6.712 -7.004 10.969" Properties=species:S:1:pos:R:3 pbc="T T T"
Cs -2.111 -2.105 4.129
Mg -1.585 -5.674 10.302
Mg 0.000 0.000 0.000
I -4.322 -1.414 7.605
I 0.302 -7.787 9.535
I 1.567 -6.322 15.051
I -6.998 -4.305 8.986
I 3.828 -7.042 11.618
I -1.284 -4.257 7.750
I -3.872 -7.052 9.085
Cs 3.072 -4.983 8.147
I -3.471 -3.561 11.069
Cs -1.059 -9.242 16.475
I -1.885 -7.090 12.855
I -4.736 -5.025 5.553
Ti -4.115 -4.268 8.340
Cs -6.241 -6.365 12.458
I 1.152 -9.933 12.999
Ti 0.946 -7.079 12.264
I 0.702 -4.295 11.520
```


(6)
The following is a PBE calculation of CaHo2As after structural relaxation, from the Alexandria database.

## Properties
Formation energy in meV/atom: -479.8
Final energy in eV for the cell shown: -17.7
Magnetic moment in Bohr magnetons per cell: 0.0
DOS at the Fermi energy in states/eV/f.u.: 4.44
Crystal system: trigonal

The structure in extended XYZ format:
```
4
Lattice="3.866 0.000 0.000 1.933 3.348 0.000 1.933 1.116 10.310" Properties=species:S:1:pos:R:3 pbc="T T T"
As 3.866 2.232 5.155
Ca 0.000 0.000 0.000
Ho 5.799 3.348 3.481
Ho 1.933 1.116 6.829
```


(7)
The following is a PBE calculation of La2PmSi after structural relaxation, from the Alexandria database.

## Properties
Final energy in eV for the cell shown: -21.1
Magnetic moment in Bohr magnetons per cell: 0.0
DOS at the Fermi energy in states/eV/f.u.: 4.55
Formation energy (no corrections) in eV/f.u.: -1.12
Crystal system: tetragonal

The structure in extended XYZ format:
```
4
Lattice="-3.429 -2.165 -2.756 3.087 -0.263 -3.635 1.457 -4.277 1.547" Properties=species:S:1:pos:R:3 pbc="T T T"
La 0.729 -2.139 0.774
Si -1.714 -1.083 -1.378
Pm 0.558 -3.353 -2.422
La 1.544 -0.131 -1.817
```


(8)
The following is a PBE calculation of Zr5Nb12Ga3 after structural relaxation, from the Alexandria database.

## Properties
Formation energy in meV/atom: 1196.0
Final energy in eV for the cell shown: -595.0
Magnetic moment in Bohr magnetons per cell: 8.2
DOS at the Fermi energy in states/eV/f.u.: 29.33
Crystal system: cubic

The structure in extended XYZ format:
```
80
Lattice="-11.911 -0.962 6.714 9.740 -6.631 7.003 3.473 13.198 -1.275" Properties=species:S:1:pos:R:3 pbc="T T T"
Ga 5.009 2.915 6.972
Nb -4.052 0.048 5.308
Nb 1.482 1.984 1.258
Nb -0.879 -5.849 11.984
Zr -5.817 5.749 6.828
Nb 8.070 5.205 4.234
Nb 6.047 8.325 2.357
Nb -1.322 2.373 4.313
Zr -4.219 6.118 2.719
Nb 9.250 -1.690 6.452
Nb 7.209 2.615 5.491
Nb 2.965 1.315 5.838
Zr 5.979 -4.393 7.646
Ga 6.148 7.164 4.939
Nb -5.907 2.990 6.950
Zr -1.730 4.912 9.295
Zr 0.000 0.000 0.000
Zr 4.870 -3.316 3.501
Zr -1.598 -0.369 4.109
Nb 1.650 -3.631 7.308
Ga -1.188 6.811 5.865
Nb 8.615 -4.096 6.871
Ga -0.458 3.880 2.075
Nb 2.624 3.232 8.127
Nb -1.502 6.221 3.281
Ga 2.489 -1.206 6.575
Nb 0.987 0.713 8.020
Nb 1.386 9.063 0.596
Zr 6.606 3.284 2.864
Nb 1.964 4.456 1.115
Zr 1.736 6.599 -0.638
Nb 0.315 4.891 4.421
Nb -4.746 -2.720 10.084
Nb -0.084 -3.458 11.845
Ga 9.638 3.976 6.010
Zr 2.899 5.974 8.332
Nb -7.313 9.700 5.570
Ga 1.760 1.725 10.365
Nb -1.237 7.495 8.445
Nb 3.844 -3.640 6.062
Nb 0.276 -2.152 5.082
Zr 2.845 5.522 3.507
Nb -2.642 -2.443 8.718
Nb 7.625 3.685 7.738
Nb -1.663 4.290 6.603
Nb -2.986 3.636 2.898
Nb -7.949 7.295 5.989
Zr 3.032 0.693 3.146
Nb -3.548 5.349 5.302
Nb 5.353 5.556 7.132
Zr 0.651 2.802 6.220
Nb 4.287 1.969 9.543
Zr -5.956 -0.481 3.357
Nb -0.180 3.621 11.183
Nb -2.543 9.245 6.379
Ga -4.847 -1.559 7.502
Nb 8.175 6.357 6.477
Nb -0.349 9.236 5.133
Nb 1.026 7.757 7.359
Zr -4.678 9.998 4.795
Nb 5.158 4.691 4.770
Zr -1.544 0.083 8.934
Nb 4.850 0.256 7.139
Ga -8.337 1.629 6.431
Nb 2.538 -1.890 3.996
Nb -6.324 1.920 4.703
Nb 2.803 -0.617 9.159
Nb -6.769 0.400 8.207
Zr 7.119 -0.144 5.613
Ga -2.683 -4.166 10.967
Nb -6.874 -0.752 5.964
Ga -3.707 2.690 5.468
Nb -0.663 1.148 11.326
Zr -1.086 -3.797 6.858
Zr 1.946 -3.104 10.004
Nb 3.944 8.048 3.723
Zr -0.645 8.709 2.436
Ga 3.985 9.771 1.474
Nb -3.857 0.914 7.670
Nb 2.180 11.454 0.457
```


Question: Look up the DOS at the Fermi energy of the eighth one.
Answer: 29.33 states/eV/f.u.


Question: Which formula does entry 3 have?
Answer: TbDy8Tm6